SmMnS2: optimized geometry, PBE-GGA.

extended XYZ file:
```
12
Lattice="3.6889 0.0000 0.0000 -1.8445 3.1947 0.0000 0.0000 0.0000 24.0432" Properties=species:S:1:pos:R:3 pbc="T T T"
Sm 0.0000 0.0000 0.0000
Sm 0.0000 2.1298 16.0288
Sm 1.8445 1.0649 8.0144
Mn 0.0000 0.0000 12.0216
Mn 0.0000 2.1298 4.0072
Mn 1.8445 1.0649 20.0360
S 0.0000 0.0000 2.7061
S 0.0000 0.0000 21.3371
S 0.0000 2.1298 13.3227
S 0.0000 2.1298 18.7348
S 1.8445 1.0649 5.3083
S 1.8445 1.0649 10.7204
```

- space group = R-3m
- magnetization (Bohr magnetons per cell) = 13.2
- raw formation energy (eV per atom) = -0.6389
- E_tot (eV per atom) = -6.175
- mass density (g cm⁻³) = 4.7

LiZnCr: optimized geometry, PBE-GGA.

extended XYZ file:
```
3
Lattice="4.3473 0.0000 0.0000 -2.1737 3.7649 0.0000 0.0000 0.0000 2.7617" Properties=species:S:1:pos:R:3 pbc="T T T"
Li 0.0000 0.0000 0.0000
Zn 2.1737 1.2550 0.6234
Cr 0.0000 2.5099 1.8118
```

- space group = P3m1
- excess energy over the best structure of this formula in the dataset (eV/f.u.) = 0.68
- formation energy (eV/atom) = 0.30
- magnetization (Bohr magnetons per cell) = 3.8
- E_tot (eV per atom) = -3.970
- mass density (g cm⁻³) = 4.6

CoGe3N: optimized geometry, PBE-GGA.

extended XYZ file:
```
5
Lattice="4.1958 0.0000 0.0000 0.0000 4.1958 0.0000 0.0000 0.0000 4.1958" Properties=species:S:1:pos:R:3 pbc="T T T"
Co 0.0000 0.0000 0.0000
Ge 0.0000 2.0979 2.0979
Ge 2.0979 0.0000 2.0979
Ge 2.0979 2.0979 0.0000
N 2.0979 2.0979 2.0979
```

- space group = Pm-3m
- excess energy over the best structure of this formula in the dataset (eV/f.u.) = 0.00
- magnetization (Bohr magnetons per cell) = 0.0
- raw formation energy (eV per atom) = 0.8568
- E_tot (eV per atom) = -5.000
- mass density (g cm⁻³) = 6.5

- Which value of mass density does entry 2 give?
  4.6 g cm⁻³

- Which formula does entry 2 have?
  LiZnCr

- mass density of number 3 (CoGe3N)?
  6.5 g cm⁻³